Entry 1:
A relaxed structure of Cd2Si. Source: Alexandria via LeMat-Bulk, functional GGA-PBE.

Total DFT energy (no corrections) in eV/atom: -2.067
D(E_F) in states/eV per atom: 0.244
Formation energy (no corrections) in meV per atom: 351

Unit cell a=7.348 b=7.348 c=5.467 alpha=90.00 beta=90.00 gamma=154.59
Positions (direct):
Si1 0.880 0.120 0.250
Si2 0.120 0.880 0.750
Cd1 0.545 0.455 0.250
Cd2 0.782 0.218 0.750
Cd3 0.218 0.782 0.250
Cd4 0.455 0.545 0.750

***

Entry 2:
A relaxed structure of CdSi3. Source: Alexandria via LeMat-Bulk, functional GGA-PBE.

Total DFT energy (no corrections) in eV/atom: -3.920
D(E_F) in states/eV per atom: 0.333
Formation energy (no corrections) in meV per atom: 376

Unit cell a=3.487 b=5.464 c=7.568 alpha=90.00 beta=90.00 gamma=90.00
Positions (direct):
Si1 0.500 0.777 0.882
Si2 0.000 0.500 0.738
Si3 0.500 0.000 0.262
Si4 0.000 0.277 0.118
Si5 0.000 0.723 0.118
Si6 0.500 0.223 0.882
Cd1 0.000 0.000 0.570
Cd2 0.500 0.500 0.430

***

Entry 3:
A relaxed structure of CdSi5. Source: Alexandria via LeMat-Bulk, functional GGA-PBE.

Total DFT energy (no corrections) in eV/atom: -4.184
D(E_F) in states/eV per atom: 0.412
Formation energy (no corrections) in meV per atom: 487

Unit cell a=3.065 b=3.065 c=10.483 alpha=90.00 beta=90.00 gamma=90.00
Positions (direct):
Cd1 0.500 0.500 0.000
Si1 0.000 0.000 0.500
Si2 0.500 0.500 0.654
Si3 0.000 0.000 0.212
Si4 0.000 0.000 0.788
Si5 0.500 0.500 0.346

***

Entry 4:
A relaxed structure of CdSi8. Source: Alexandria via LeMat-Bulk, functional GGA-PBE.

Total DFT energy (no corrections) in eV/atom: -4.366
D(E_F) in states/eV per atom: 0.265
Formation energy (no corrections) in meV per atom: 557

Unit cell a=6.345 b=6.345 c=6.345 alpha=95.55 beta=95.55 gamma=143.75
Positions (direct):
Si1 0.654 0.000 0.654
Si2 0.679 0.321 0.000
Si3 0.346 0.000 0.346
Si4 0.321 0.321 0.641
Si5 0.679 0.679 0.359
Si6 0.321 0.679 0.000
Si7 0.000 0.346 0.346
Si8 0.000 0.654 0.654
Cd1 0.000 0.000 0.000

***

Entry 5:
A relaxed structure of CdSi3. Source: Alexandria via LeMat-Bulk, functional GGA-PBE.

Total DFT energy (no corrections) in eV/atom: -3.788
D(E_F) in states/eV per atom: 0.414
Formation energy (no corrections) in meV per atom: 508

Unit cell a=5.676 b=5.676 c=5.676 alpha=150.34 beta=129.15 gamma=59.98
Positions (direct):
Si1 0.368 0.784 0.584
Si2 0.799 0.216 0.584
Si3 0.583 0.500 0.083
Cd1 0.083 0.000 0.083

***

Entry 6:
A relaxed structure of Cd4Si. Source: Alexandria via LeMat-Bulk, functional GGA-PBE.

Total DFT energy (no corrections) in eV/atom: -1.602
D(E_F) in states/eV per atom: 0.315
Formation energy (no corrections) in meV per atom: 215

Unit cell a=5.380 b=5.380 c=5.380 alpha=99.96 beta=99.96 gamma=130.84
Positions (direct):
Cd1 0.603 0.796 0.399
Cd2 0.397 0.204 0.601
Cd3 0.204 0.603 0.807
Cd4 0.796 0.397 0.193
Si1 0.000 0.000 0.000

***

Entry 7:
A relaxed structure of Cd5Si. Source: Alexandria via LeMat-Bulk, functional GGA-PBE.

Total DFT energy (no corrections) in eV/atom: -1.495
D(E_F) in states/eV per atom: 0.320
Formation energy (no corrections) in meV per atom: 171

Unit cell a=3.163 b=3.163 c=12.963 alpha=90.00 beta=90.00 gamma=90.00
Positions (direct):
Cd1 0.000 0.000 0.500
Cd2 0.500 0.500 0.673
Cd3 0.500 0.500 0.327
Cd4 0.000 0.000 0.152
Cd5 0.000 0.000 0.848
Si1 0.500 0.500 0.000

***

Entry 8:
A relaxed structure of CdSi3. Source: Alexandria via LeMat-Bulk, functional GGA-PBE.

Total DFT energy (no corrections) in eV/atom: -3.797
D(E_F) in states/eV per atom: 0.300
Formation energy (no corrections) in meV per atom: 499

Unit cell a=4.651 b=4.651 c=5.926 alpha=89.66 beta=89.66 gamma=34.37
Positions (direct):
Cd1 0.000 0.000 0.000
Si1 0.754 0.754 0.688
Si2 0.246 0.246 0.312
Si3 0.500 0.500 0.500

***

Entry 9:
A relaxed structure of CdSi5. Source: Alexandria via LeMat-Bulk, functional GGA-PBE.

Total DFT energy (no corrections) in eV/atom: -4.174
D(E_F) in states/eV per atom: 0.316
Formation energy (no corrections) in meV per atom: 498

Unit cell a=5.554 b=5.554 c=7.158 alpha=72.62 beta=72.62 gamma=28.23
Positions (direct):
Si1 0.000 0.000 0.500
Si2 0.321 0.321 0.801
Si3 0.679 0.679 0.199
Si4 0.669 0.669 0.638
Si5 0.331 0.331 0.362
Cd1 0.000 0.000 0.000

***

Entry 10:
A relaxed structure of Cd2Si. Source: Alexandria via LeMat-Bulk, functional GGA-PBE.

Total DFT energy (no corrections) in eV/atom: -2.115
D(E_F) in states/eV per atom: 0.408
Formation energy (no corrections) in meV per atom: 302

Unit cell a=5.448 b=5.448 c=4.709 alpha=90.00 beta=90.00 gamma=95.27
Positions (direct):
Cd1 0.557 0.184 0.750
Cd2 0.184 0.557 0.750
Cd3 0.443 0.816 0.250
Cd4 0.816 0.443 0.250
Si1 0.048 0.048 0.750
Si2 0.952 0.952 0.250

***

Entry 11:
A relaxed structure of Cd2Si. Source: Alexandria via LeMat-Bulk, functional GGA-PBE.

Total DFT energy (no corrections) in eV/atom: -2.121
D(E_F) in states/eV per atom: 0.210
Formation energy (no corrections) in meV per atom: 297

Unit cell a=8.430 b=8.430 c=8.430 alpha=20.07 beta=20.07 gamma=20.07
Positions (direct):
Si1 0.000 0.000 0.000
Cd1 0.558 0.558 0.558
Cd2 0.776 0.776 0.776

***

Entry 12:
A relaxed structure of Cd3Si4. Source: Alexandria via LeMat-Bulk, functional GGA-PBE.

Total DFT energy (no corrections) in eV/atom: -2.828
D(E_F) in states/eV per atom: 0.267
Formation energy (no corrections) in meV per atom: 663

Unit cell a=5.817 b=5.817 c=4.889 alpha=90.00 beta=90.00 gamma=120.00
Positions (direct):
Si1 0.667 0.333 0.500
Si2 0.000 0.000 0.250
Si3 0.000 0.000 0.750
Si4 0.333 0.667 0.500
Cd1 0.000 0.500 0.000
Cd2 0.500 0.000 0.000
Cd3 0.500 0.500 0.000

***

Entry 13:
A relaxed structure of Cd2Si. Source: Alexandria via LeMat-Bulk, functional GGA-PBE.

Total DFT energy (no corrections) in eV/atom: -2.120
D(E_F) in states/eV per atom: 0.395
Formation energy (no corrections) in meV per atom: 298

Unit cell a=7.338 b=7.338 c=4.108 alpha=90.00 beta=90.00 gamma=120.00
Positions (direct):
Si1 0.667 0.333 0.000
Si2 0.000 0.000 0.500
Si3 0.333 0.667 0.000
Cd1 0.000 0.267 0.000
Cd2 0.733 0.733 0.000
Cd3 0.267 0.000 0.000
Cd4 0.000 0.606 0.500
Cd5 0.394 0.394 0.500
Cd6 0.606 0.000 0.500

***

Entry 14:
A relaxed structure of CdSi5. Source: Alexandria via LeMat-Bulk, functional GGA-PBE.

Total DFT energy (no corrections) in eV/atom: -4.155
D(E_F) in states/eV per atom: 0.351
Formation energy (no corrections) in meV per atom: 517

Unit cell a=5.241 b=5.241 c=4.307 alpha=90.00 beta=90.00 gamma=120.00
Positions (direct):
Si1 0.000 0.500 0.500
Si2 0.667 0.333 0.000
Si3 0.500 0.000 0.500
Si4 0.333 0.667 0.000
Si5 0.500 0.500 0.500
Cd1 0.000 0.000 0.000